w) Entry from the Alexandria database: a relaxed structure of LaCrP2 (PBE). Values from VASP.

```
&SYSTEM
  ibrav = 0, nat = 4, ntyp = 3
/
ATOMIC_SPECIES
P 30.97 P.upf
La 138.91 La.upf
Cr 52.00 Cr.upf
CELL_PARAMETERS angstrom
3.892 0.004 0.000
1.942 3.373 0.000
-0.001 0.000 6.034
ATOMIC_POSITIONS angstrom
P 5.104 2.955 5.655
P 5.104 2.955 3.395
La 1.216 0.704 1.508
Cr 3.159 1.829 4.526
```

Calculated values
M_tot = 2.83 μB per formula unit
ρ = 5.30 g/cm3
DOS at the Fermi energy = 2.0 states/eV/f.u.



x) Entry from the Alexandria database: a relaxed structure of LaCrP2 (PBE). Values from VASP.

```
&SYSTEM
  ibrav = 0, nat = 4, ntyp = 3
/
ATOMIC_SPECIES
P 30.97 P.upf
La 138.91 La.upf
Cr 52.00 Cr.upf
CELL_PARAMETERS angstrom
-0.306 -4.467 1.424
2.441 1.553 3.702
-3.129 0.768 1.744
ATOMIC_POSITIONS angstrom
P 1.068 -1.457 2.563
P 0.000 0.000 0.000
La -0.344 1.161 2.723
Cr -1.718 -1.850 1.584
```

Calculated values
M_tot = 3.91 μB per formula unit
ρ = 5.22 g/cm3
DOS at the Fermi energy = 2.3 states/eV/f.u.



y) Entry from the Alexandria database: a relaxed structure of LaCrP2 (PBE). Values from VASP.

```
&SYSTEM
  ibrav = 0, nat = 4, ntyp = 3
/
ATOMIC_SPECIES
Cr 52.00 Cr.upf
La 138.91 La.upf
P 30.97 P.upf
CELL_PARAMETERS angstrom
-6.543 0.050 5.500
-7.422 -2.433 3.474
-5.317 -3.001 5.983
ATOMIC_POSITIONS angstrom
Cr -10.040 -2.803 7.787
La -14.337 -4.003 11.120
P -4.950 -1.382 3.839
P -18.881 -5.272 14.645
```

Calculated values
M_tot = 3.50 μB per formula unit
ρ = 5.27 g/cm3
DOS at the Fermi energy = 2.8 states/eV/f.u.



z) Entry from the Alexandria database: a relaxed structure of LaCrP2 (PBE). Values from VASP.

```
&SYSTEM
  ibrav = 0, nat = 4, ntyp = 3
/
ATOMIC_SPECIES
La 138.91 La.upf
Cr 52.00 Cr.upf
P 30.97 P.upf
CELL_PARAMETERS angstrom
4.687 0.000 0.000
0.000 4.688 0.000
0.000 0.000 3.667
ATOMIC_POSITIONS angstrom
La 0.000 2.344 1.834
Cr 2.344 0.000 1.834
P 0.000 0.000 0.000
P 2.344 2.344 0.000
```

Calculated values
M_tot = 4.02 μB per formula unit
ρ = 5.21 g/cm3
DOS at the Fermi energy = 2.6 states/eV/f.u.



Which structure loses on stability? y) does.



w) Entry from the Alexandria database: a relaxed structure of LaCrP2 (PBE). Values from VASP.

```
&SYSTEM
  ibrav = 0, nat = 4, ntyp = 3
/
ATOMIC_SPECIES
P 30.97 P.upf
La 138.91 La.upf
Cr 52.00 Cr.upf
CELL_PARAMETERS angstrom
-3.708 -1.193 0.474
-1.937 -1.627 -3.000
0.042 -6.255 0.803
ATOMIC_POSITIONS angstrom
P -0.084 -5.907 0.695
P -2.675 -4.886 -0.754
La -1.401 -2.269 -0.431
Cr -4.202 -6.807 -1.292
```

Calculated values
M_tot = 2.79 μB per formula unit
ρ = 5.35 g/cm3
DOS at the Fermi energy = 1.1 states/eV/f.u.



x) Entry from the Alexandria database: a relaxed structure of LaCrP2 (PBE). Values from VASP.

```
&SYSTEM
  ibrav = 0, nat = 4, ntyp = 3
/
ATOMIC_SPECIES
La 138.91 La.upf
P 30.97 P.upf
Cr 52.00 Cr.upf
CELL_PARAMETERS angstrom
-1.816 4.628 0.279
0.012 -0.388 4.964
3.646 -0.001 -3.391
ATOMIC_POSITIONS angstrom
La 1.378 0.865 2.098
P -1.005 2.362 2.920
P -1.701 3.999 4.945
Cr 0.464 3.373 -0.245
```

Calculated values
M_tot = 3.04 μB per formula unit
ρ = 5.12 g/cm3
DOS at the Fermi energy = 1.0 states/eV/f.u.



Which structure loses on stability? x) does.



w) Entry from the Alexandria database: a relaxed structure of LaCrP2 (PBE). Values from VASP.

```
&SYSTEM
  ibrav = 0, nat = 4, ntyp = 3
/
ATOMIC_SPECIES
P 30.97 P.upf
Cr 52.00 Cr.upf
La 138.91 La.upf
CELL_PARAMETERS angstrom
-0.296 -1.065 -6.812
-0.197 -5.374 -4.326
-2.238 3.349 5.604
ATOMIC_POSITIONS angstrom
P -1.354 0.002 -2.576
P -0.483 -6.321 -10.934
Cr -0.268 -3.510 -6.072
La -1.363 -2.919 -2.660
```

Calculated values
M_tot = 2.78 μB per formula unit
ρ = 5.28 g/cm3
DOS at the Fermi energy = 1.3 states/eV/f.u.



x) Entry from the Alexandria database: a relaxed structure of LaCrP2 (PBE). Values from VASP.

```
&SYSTEM
  ibrav = 0, nat = 4, ntyp = 3
/
ATOMIC_SPECIES
La 138.91 La.upf
P 30.97 P.upf
Cr 52.00 Cr.upf
CELL_PARAMETERS angstrom
3.939 0.000 0.000
0.000 3.938 0.000
0.000 0.000 5.865
ATOMIC_POSITIONS angstrom
La 1.969 1.969 5.029
P 1.969 1.969 2.147
P 0.000 0.000 5.502
Cr 0.000 0.000 1.986
```

Calculated values
M_tot = 2.96 μB per formula unit
ρ = 4.62 g/cm3
DOS at the Fermi energy = 1.7 states/eV/f.u.



y) Entry from the Alexandria database: a relaxed structure of LaCrP2 (PBE). Values from VASP.

```
&SYSTEM
  ibrav = 0, nat = 4, ntyp = 3
/
ATOMIC_SPECIES
Cr 52.00 Cr.upf
P 30.97 P.upf
La 138.91 La.upf
CELL_PARAMETERS angstrom
-1.045 -3.766 2.760
3.304 -3.365 0.808
1.983 -0.413 4.334
ATOMIC_POSITIONS angstrom
Cr 2.121 -3.772 3.951
P 0.000 0.000 0.000
P 1.061 -1.886 1.976
La 3.182 -5.657 5.927
```

Calculated values
M_tot = 3.48 μB per formula unit
ρ = 5.42 g/cm3
DOS at the Fermi energy = 3.3 states/eV/f.u.



z) Entry from the Alexandria database: a relaxed structure of LaCrP2 (PBE). Values from VASP.

```
&SYSTEM
  ibrav = 0, nat = 4, ntyp = 3
/
ATOMIC_SPECIES
P 30.97 P.upf
La 138.91 La.upf
Cr 52.00 Cr.upf
CELL_PARAMETERS angstrom
-2.437 0.446 -1.912
-1.921 0.083 2.468
0.877 6.745 0.456
ATOMIC_POSITIONS angstrom
P 0.380 2.926 0.198
P 0.058 0.446 0.030
La -1.521 5.323 0.620
Cr -1.960 1.951 0.392
```

Calculated values
M_tot = 0.32 μB per formula unit
ρ = 6.29 g/cm3
DOS at the Fermi energy = 3.1 states/eV/f.u.



Which structure loses on stability? y) does.



w) Entry from the Alexandria database: a relaxed structure of LaCrP3 (PBE). Values from VASP.

```
&SYSTEM
  ibrav = 0, nat = 5, ntyp = 3
/
ATOMIC_SPECIES
P 30.97 P.upf
Cr 52.00 Cr.upf
La 138.91 La.upf
CELL_PARAMETERS angstrom
5.370 0.000 0.000
0.000 5.370 0.000
0.000 0.000 5.370
ATOMIC_POSITIONS angstrom
P 0.000 0.000 2.685
P 0.000 2.685 0.000
P 2.685 0.000 0.000
Cr 2.685 2.685 2.685
La 0.000 0.000 0.000
```

Calculated values
M_tot = 4.36 μB per formula unit
ρ = 3.04 g/cm3
DOS at the Fermi energy = 7.2 states/eV/f.u.



x) Entry from the Alexandria database: a relaxed structure of LaCrP3 (PBE). Values from VASP.

```
&SYSTEM
  ibrav = 0, nat = 5, ntyp = 3
/
ATOMIC_SPECIES
La 138.91 La.upf
Cr 52.00 Cr.upf
P 30.97 P.upf
CELL_PARAMETERS angstrom
4.557 0.000 0.000
0.000 4.557 0.000
0.000 0.000 4.557
ATOMIC_POSITIONS angstrom
La 2.279 2.279 2.279
Cr 0.000 0.000 0.000
P 0.000 2.279 0.000
P 0.000 0.000 2.279
P 2.279 0.000 0.000
```

Calculated values
M_tot = 0.91 μB per formula unit
ρ = 4.98 g/cm3
DOS at the Fermi energy = 4.4 states/eV/f.u.



Which structure loses on stability? w) does.



w) Entry from the Alexandria database: a relaxed structure of LaCr3P (PBE). Values from VASP.

```
&SYSTEM
  ibrav = 0, nat = 5, ntyp = 3
/
ATOMIC_SPECIES
P 30.97 P.upf
Cr 52.00 Cr.upf
La 138.91 La.upf
CELL_PARAMETERS angstrom
4.489 0.000 0.000
0.000 4.489 0.000
0.000 0.000 4.489
ATOMIC_POSITIONS angstrom
P 0.000 0.000 0.000
Cr 0.000 2.245 0.000
Cr 2.245 0.000 0.000
Cr 0.000 0.000 2.245
La 2.245 2.245 2.245
```

Calculated values
M_tot = 6.47 μB per formula unit
ρ = 5.98 g/cm3
DOS at the Fermi energy = 4.8 states/eV/f.u.



x) Entry from the Alexandria database: a relaxed structure of LaCr3P (PBE). Values from VASP.

```
&SYSTEM
  ibrav = 0, nat = 5, ntyp = 3
/
ATOMIC_SPECIES
Cr 52.00 Cr.upf
La 138.91 La.upf
P 30.97 P.upf
CELL_PARAMETERS angstrom
-2.647 -3.299 1.542
0.539 -2.240 -3.867
3.601 -2.089 1.712
ATOMIC_POSITIONS angstrom
Cr -1.323 -1.649 0.771
Cr 0.269 -1.120 -1.934
Cr 1.801 -1.045 0.856
La 0.000 0.000 0.000
P 0.747 -3.814 -0.307
```

Calculated values
M_tot = 0.00 μB per formula unit
ρ = 5.93 g/cm3
DOS at the Fermi energy = 22.2 states/eV/f.u.



Which structure loses on stability? x) does.